No. 1
Compound: CaTbPm
Source: Alexandria
Functional: GGA-PBE
Structure: optimized geometry

```
CaTbPm
1.0
4.9513 0.0000 0.0000
0.0000 4.9513 0.0000
0.0000 0.0000 8.9919
Ca Tb Pm
2 2 2
direct
0.2500 0.2500 0.1735 Ca
0.7500 0.7500 0.8265 Ca
0.2500 0.2500 0.7806 Tb
0.7500 0.7500 0.2194 Tb
0.2500 0.7500 0.5000 Pm
0.7500 0.2500 0.5000 Pm
```

SG   P4/nmm
Volume   36.7 Å³/atom
Final energy   -0.130 hartree per atom
Energy of formation   264 meV per atom
Energy above the most stable polymorph in this dataset   222 meV/atom


No. 2
Compound: Ca2Tb5Pm4
Source: Alexandria
Functional: GGA-PBE
Structure: optimized geometry

```
Ca2Tb5Pm4
1.0
12.2263 -1.7711 0.0000
12.2263 1.7711 0.0000
-0.7377 0.0000 8.8638
Ca Tb Pm
2 5 4
direct
0.2267 0.2267 0.3214 Ca
0.7733 0.7733 0.6786 Ca
0.0000 0.0000 0.5000 Tb
0.3159 0.3159 0.0316 Tb
0.3743 0.3743 0.4473 Tb
0.6257 0.6257 0.5527 Tb
0.6841 0.6841 0.9684 Tb
0.0867 0.0867 0.1987 Pm
0.4583 0.4583 0.1549 Pm
0.5417 0.5417 0.8451 Pm
0.9133 0.9133 0.8013 Pm
```

SG   C2/m
Volume   34.9 Å³/atom
Final energy   -0.149 hartree per atom
Energy of formation   144 meV per atom


No. 3
Compound: CaTb8Pm2
Source: Alexandria
Functional: GGA-PBE
Structure: optimized geometry

```
CaTb8Pm2
1.0
-2.7840 4.1946 7.9481
2.7840 -4.1946 7.9481
2.7840 4.1946 -7.9481
Ca Tb Pm
1 8 2
direct
0.0000 0.0000 0.0000 Ca
0.1549 0.8579 0.2970 Tb
0.1597 0.6597 0.5000 Tb
0.3051 0.5000 0.8051 Tb
0.4392 0.1421 0.2970 Tb
0.5608 0.8579 0.7030 Tb
0.6949 0.5000 0.1949 Tb
0.8403 0.3403 0.5000 Tb
0.8451 0.1421 0.7030 Tb
0.2973 0.2973 0.0000 Pm
0.7027 0.7027 0.0000 Pm
```

SG   Immm
Volume   33.8 Å³/atom
Final energy   -0.156 hartree per atom
Energy of formation   163 meV per atom


No. 4
Compound: CaTb2Pm5
Source: Alexandria
Functional: GGA-PBE
Structure: optimized geometry

```
CaTb2Pm5
1.0
6.5630 -8.0706 0.0000
6.5630 8.0706 0.0000
-2.7728 0.0000 5.3722
Ca Tb Pm
2 4 10
direct
0.1544 0.8456 0.7500 Ca
0.8456 0.1544 0.2500 Ca
0.0000 0.5000 0.0000 Tb
0.5000 0.0000 0.5000 Tb
0.5000 0.5000 0.0000 Tb
0.5000 0.5000 0.5000 Tb
0.1143 0.2234 0.9178 Pm
0.1699 0.4579 0.5638 Pm
0.2234 0.1143 0.4178 Pm
0.3008 0.6992 0.2500 Pm
0.4579 0.1699 0.0638 Pm
0.5421 0.8301 0.9362 Pm
0.6992 0.3008 0.7500 Pm
0.7766 0.8857 0.5822 Pm
0.8301 0.5421 0.4362 Pm
0.8857 0.7766 0.0822 Pm
```

SG   C2/c
Volume   35.6 Å³/atom
Final energy   -0.152 hartree per atom
Energy of formation   254 meV per atom


No. 5
Compound: Ca2TbPm4
Source: Alexandria
Functional: GGA-PBE
Structure: optimized geometry

```
Ca2TbPm4
1.0
-2.8674 2.8674 8.9663
2.8674 -2.8674 8.9663
2.8674 2.8674 -8.9663
Ca Tb Pm
2 1 4
direct
0.1270 0.1270 0.0000 Ca
0.8730 0.8730 0.0000 Ca
0.5000 0.5000 0.0000 Tb
0.0000 0.5000 0.5000 Pm
0.3277 0.3277 0.0000 Pm
0.5000 0.0000 0.5000 Pm
0.6723 0.6723 0.0000 Pm
```

SG   I4/mmm
Volume   42.1 Å³/atom
Final energy   -0.123 hartree per atom
Energy of formation   592 meV per atom
Energy above the most stable polymorph in this dataset   466 meV/atom


No. 6
Compound: Ca2Tb4Pm5
Source: Alexandria
Functional: GGA-PBE
Structure: optimized geometry

```
Ca2Tb4Pm5
1.0
8.7027 -3.3886 0.0000
8.7027 3.3886 0.0000
-0.8482 0.0000 6.6240
Ca Tb Pm
2 4 5
direct
0.2020 0.2020 0.3426 Ca
0.7980 0.7980 0.6574 Ca
0.2533 0.2533 0.8592 Tb
0.4190 0.4190 0.6137 Tb
0.5810 0.5810 0.3863 Tb
0.7467 0.7467 0.1408 Tb
0.0000 0.0000 0.5000 Pm
0.1717 0.6524 0.1015 Pm
0.3476 0.8283 0.8985 Pm
0.6524 0.1717 0.1015 Pm
0.8283 0.3476 0.8985 Pm
```

SG   C2/m
Volume   35.5 Å³/atom
Final energy   -0.148 hartree per atom
Energy of formation   182 meV per atom


No. 7
Compound: CaTb6Pm3
Source: Alexandria
Functional: GGA-PBE
Structure: optimized geometry

```
CaTb6Pm3
1.0
9.0091 -3.4531 0.0000
9.0091 3.4531 0.0000
-1.3115 0.0000 5.8160
Ca Tb Pm
1 6 3
direct
0.0000 0.0000 0.0000 Ca
0.0925 0.5690 0.8920 Tb
0.3141 0.3141 0.3935 Tb
0.4310 0.9075 0.1080 Tb
0.5690 0.0925 0.8920 Tb
0.6859 0.6859 0.6065 Tb
0.9075 0.4310 0.1080 Tb
0.1453 0.1453 0.6017 Pm
0.5000 0.5000 0.5000 Pm
0.8547 0.8547 0.3983 Pm
```

SG   C2/m
Volume   36.2 Å³/atom
Final energy   -0.153 hartree per atom
Energy of formation   247 meV per atom


No. 8
Compound: CaTbPm2
Source: Alexandria
Functional: GGA-PBE
Structure: optimized geometry

```
CaTbPm2
1.0
3.6599 0.0000 0.0000
0.0000 3.6599 0.0000
0.0000 0.0000 10.5138
Ca Tb Pm
1 1 2
direct
0.0000 0.0000 0.0000 Ca
0.0000 0.0000 0.5000 Tb
0.5000 0.5000 0.2665 Pm
0.5000 0.5000 0.7335 Pm
```

SG   P4/mmm
Volume   35.2 Å³/atom
Final energy   -0.146 hartree per atom
Energy of formation   48 meV per atom
Energy above the most stable polymorph in this dataset   8 meV/atom


No. 9
Compound: CaTb3Pm7
Source: Alexandria
Functional: GGA-PBE
Structure: optimized geometry

```
CaTb3Pm7
1.0
7.2239 0.0000 0.0000
-3.6120 6.2561 0.0000
0.0000 0.0000 8.7549
Ca Tb Pm
1 3 7
direct
0.0000 0.0000 0.0000 Ca
0.1692 0.3385 0.3426 Tb
0.1692 0.8308 0.3426 Tb
0.6615 0.8308 0.3426 Tb
0.0037 0.5018 0.0070 Pm
0.3333 0.6667 0.6784 Pm
0.3374 0.1687 0.6625 Pm
0.4982 0.5018 0.0070 Pm
0.4982 0.9963 0.0070 Pm
0.8313 0.1687 0.6625 Pm
0.8313 0.6626 0.6625 Pm
```

SG   P3m1
Volume   36.0 Å³/atom
Final energy   -0.156 hartree per atom
Energy of formation   213 meV per atom


No. 10
Compound: CaTbPm2
Source: Alexandria
Functional: GGA-PBE
Structure: optimized geometry

```
CaTbPm2
1.0
5.2213 0.0000 0.0000
0.0000 5.2213 0.0000
0.0000 0.0000 5.0919
Ca Tb Pm
1 1 2
direct
0.0000 0.0000 0.0000 Ca
0.5000 0.5000 0.0000 Tb
0.0000 0.5000 0.5000 Pm
0.5000 0.0000 0.5000 Pm
```

SG   P4/mmm
Volume   34.7 Å³/atom
Final energy   -0.145 hartree per atom
Energy of formation   100 meV per atom
Energy above the most stable polymorph in this dataset   60 meV/atom


No. 11
Compound: CaTb2Pm3Te6
Source: Alexandria
Functional: GGA-PBE
Structure: optimized geometry

```
CaTb2Pm3Te6
1.0
9.6907 -2.2086 0.0000
9.6907 2.2086 0.0000
-2.1379 0.0000 8.6660
Ca Tb Pm Te
1 2 3 6
direct
0.0000 0.0000 0.0000 Ca
0.3300 0.3300 0.6606 Tb
0.6700 0.6700 0.3394 Tb
0.0000 0.0000 0.5000 Pm
0.3340 0.3340 0.1745 Pm
0.6660 0.6660 0.8255 Pm
0.1658 0.1658 0.0863 Te
0.1667 0.1667 0.5771 Te
0.4965 0.4965 0.7526 Te
0.5035 0.5035 0.2474 Te
0.8333 0.8333 0.4229 Te
0.8342 0.8342 0.9137 Te
```

Uncorrected formation energy   -16.9 eV per formula unit
SG   C2/m
Volume   30.9 Å³/atom
Final energy   -0.188 hartree per atom


No. 12
Compound: Ca4TbPm3Te8
Source: Alexandria
Functional: GGA-PBE
Structure: optimized geometry

```
Ca4TbPm3Te8
1.0
4.4313 2.5584 7.4256
-4.4313 2.5584 7.4256
0.0000 -5.1169 7.4256
Ca Tb Pm Te
4 1 3 8
direct
0.0000 0.0000 0.0000 Ca
0.0000 0.5000 0.5000 Ca
0.5000 0.0000 0.5000 Ca
0.5000 0.5000 0.0000 Ca
0.5000 0.5000 0.5000 Tb
0.0000 0.0000 0.5000 Pm
0.0000 0.5000 0.0000 Pm
0.5000 0.0000 0.0000 Pm
0.2511 0.2511 0.2511 Te
0.2519 0.2519 0.7458 Te
0.2519 0.7458 0.2519 Te
0.2542 0.7481 0.7481 Te
0.7458 0.2519 0.2519 Te
0.7481 0.2542 0.7481 Te
0.7481 0.7481 0.2542 Te
0.7489 0.7489 0.7489 Te
```

Uncorrected formation energy   -24.0 eV per formula unit
SG   R-3m
Volume   31.6 Å³/atom
Final energy   -0.175 hartree per atom


Question: Among the records above, which one has the lowest volume?
Answer: CaTb2Pm3Te6


Question: Among the records above, which one has the highest final energy?
Answer: Ca2TbPm4


Please write out number 4 again, unchanged.
Compound: CaTb2Pm5
Source: Alexandria
Functional: GGA-PBE
Structure: optimized geometry

```
CaTb2Pm5
1.0
6.5630 -8.0706 0.0000
6.5630 8.0706 0.0000
-2.7728 0.0000 5.3722
Ca Tb Pm
2 4 10
direct
0.1544 0.8456 0.7500 Ca
0.8456 0.1544 0.2500 Ca
0.0000 0.5000 0.0000 Tb
0.5000 0.0000 0.5000 Tb
0.5000 0.5000 0.0000 Tb
0.5000 0.5000 0.5000 Tb
0.1143 0.2234 0.9178 Pm
0.1699 0.4579 0.5638 Pm
0.2234 0.1143 0.4178 Pm
0.3008 0.6992 0.2500 Pm
0.4579 0.1699 0.0638 Pm
0.5421 0.8301 0.9362 Pm
0.6992 0.3008 0.7500 Pm
0.7766 0.8857 0.5822 Pm
0.8301 0.5421 0.4362 Pm
0.8857 0.7766 0.0822 Pm
```

SG   C2/c
Volume   35.6 Å³/atom
Final energy   -0.152 hartree per atom
Energy of formation   254 meV per atom


Please write out number 9 again, unchanged.
Compound: CaTb3Pm7
Source: Alexandria
Functional: GGA-PBE
Structure: optimized geometry

```
CaTb3Pm7
1.0
7.2239 0.0000 0.0000
-3.6120 6.2561 0.0000
0.0000 0.0000 8.7549
Ca Tb Pm
1 3 7
direct
0.0000 0.0000 0.0000 Ca
0.1692 0.3385 0.3426 Tb
0.1692 0.8308 0.3426 Tb
0.6615 0.8308 0.3426 Tb
0.0037 0.5018 0.0070 Pm
0.3333 0.6667 0.6784 Pm
0.3374 0.1687 0.6625 Pm
0.4982 0.5018 0.0070 Pm
0.4982 0.9963 0.0070 Pm
0.8313 0.1687 0.6625 Pm
0.8313 0.6626 0.6625 Pm
```

SG   P3m1
Volume   36.0 Å³/atom
Final energy   -0.156 hartree per atom
Energy of formation   213 meV per atom